Record 1
Here is SrTiCl2O after structural relaxation from the Alexandria database. Energies are from PBEsol.

Cell: 4.383 5.449 5.449 Å, 90.00 90.00 90.00°
Site moments in Bohr magnetons follow the coordinates.
Sites, in units of the cell vectors:
O  0.500  0.000  0.000  0.23
Sr  0.000  0.000  0.000  0.03
Cl  0.000  0.000  0.500  -0.01
Cl  0.000  0.500  0.000  -0.01
Ti  0.500  0.500  0.500  2.04

## Properties
electronic total energy	-4.567	eV per atom
crystal system	tetragonal
uncorrected formation energy	-66	kJ/mol of atoms

---

Record 2
Here is TaClO2 after structural relaxation from the Alexandria database. Energies are from PBEsol.

Cell: 3.076 3.076 7.844 Å, 78.69 78.69 60.00°
Site moments in Bohr magnetons follow the coordinates.
Sites, in units of the cell vectors:
Cl  0.500  0.500  0.500  0.78
O  0.080  0.080  0.760  0.30
O  0.920  0.920  0.240  0.30
Ta  0.000  0.000  0.000  -0.02

## Properties
electronic total energy	-6.247	eV per atom
crystal system	trigonal
uncorrected formation energy	2	kJ/mol of atoms

---

Record 3
Here is TaCl3O after structural relaxation from the Alexandria database. Energies are from PBEsol.

Cell: 3.814 11.336 11.336 Å, 90.00 90.00 90.00°
Sites, in units of the cell vectors:
Cl  0.000  0.179  0.602
O  0.500  0.392  0.608
O  0.500  0.608  0.392
Cl  0.000  0.398  0.821
Ta  0.000  0.621  0.379
O  0.000  0.892  0.892
Cl  0.500  0.101  0.899
Ta  0.500  0.879  0.879
Cl  0.000  0.399  0.399
Ta  0.500  0.121  0.121
Cl  0.000  0.821  0.398
Cl  0.500  0.679  0.898
Cl  0.500  0.898  0.679
Cl  0.000  0.602  0.179
Cl  0.500  0.321  0.102
Cl  0.000  0.601  0.601
Cl  0.500  0.899  0.101
O  0.000  0.108  0.108
Cl  0.500  0.102  0.321
Ta  0.000  0.379  0.621

## Properties
electronic total energy	-6.526	eV per atom
crystal system	tetragonal
uncorrected formation energy	-170	kJ/mol of atoms

---

Record 4
Here is TaTe2ClO after structural relaxation from the Alexandria database. Energies are from PBEsol.

Cell: 3.802 5.380 5.380 Å, 90.00 90.00 90.00°
Sites, in units of the cell vectors:
Te  0.000  0.000  0.500
Te  0.000  0.500  0.000
O  0.000  0.000  0.000
Cl  0.500  0.500  0.500
Ta  0.500  0.000  0.000

## Properties
electronic total energy	-5.312	eV per atom
crystal system	tetragonal
uncorrected formation energy	6	kJ/mol of atoms

---

Record 5
Here is Tc3ClO after structural relaxation from the Alexandria database. Energies are from PBEsol.

Cell: 4.056 4.056 4.056 Å, 90.00 90.00 90.00°
Site moments in Bohr magnetons follow the coordinates.
Sites, in units of the cell vectors:
Cl  0.500  0.500  0.500  0.03
O  0.000  0.000  0.000  -0.01
Tc  0.500  0.000  0.000  0.43
Tc  0.000  0.000  0.500  0.43
Tc  0.000  0.500  0.000  0.43

## Properties
electronic total energy	-7.448	eV per atom
crystal system	cubic
uncorrected formation energy	74	kJ/mol of atoms

---

Record 6
Here is Te6Cl2O11 after structural relaxation from the Alexandria database. Energies are from PBEsol.

Cell: 6.701 6.701 15.236 Å, 90.00 90.00 119.01°
Sites, in units of the cell vectors:
O  0.943  0.191  0.906
Te  0.092  0.092  0.140
O  0.821  0.512  0.962
Te  0.523  0.199  0.588
O  0.488  0.179  0.462
O  0.584  0.584  0.114
O  0.512  0.821  0.962
O  0.821  0.512  0.538
Cl  0.144  0.473  0.250
O  0.488  0.179  0.038
Te  0.199  0.523  0.912
Cl  0.527  0.856  0.750
Te  0.523  0.199  0.912
O  0.416  0.416  0.886
O  0.584  0.584  0.386
O  0.416  0.416  0.614
O  0.179  0.488  0.038
O  0.943  0.943  0.250
Te  0.477  0.801  0.412
Cl  0.856  0.527  0.750
Te  0.477  0.801  0.088
Te  0.908  0.908  0.640
Te  0.199  0.523  0.588
O  0.512  0.821  0.538
O  0.057  0.809  0.406
Cl  0.473  0.144  0.250
O  0.057  0.809  0.094
O  0.943  0.191  0.594
O  0.191  0.943  0.594
O  0.057  0.057  0.750
Te  0.908  0.908  0.860
Te  0.092  0.092  0.360
O  0.179  0.488  0.462
Te  0.801  0.477  0.088
O  0.191  0.943  0.906
Te  0.801  0.477  0.412
O  0.809  0.057  0.406
O  0.809  0.057  0.094

## Properties
electronic total energy	-5.365	eV per atom
crystal system	orthorhombic
uncorrected formation energy	-97	kJ/mol of atoms

---

The lowest electronic total energy belongs to which entry? Tc3ClO

---

uncorrected formation energy of number 5 (Tc3ClO)? 74 kJ/mol of atoms